No. 1
Material: CaMg2Cd6
Method: DFT, PBE
State: relaxed

Total magnetization (μB/atom): 0.00
Calculated volume (Å³ per atom): 23.6
Energy (eV/atom): -1.348
Symmetry: Immm
Energy of formation (meV per atom): -161

```
CaMg2Cd6
1.0
-2.124 0.477 -2.622
1.719 -6.977 -4.876
-4.845 -7.195 0.400
Ca Mg Cd
1 2 6
Cartesian
0.000 0.000 0.000
-3.833 -8.742 -5.130
-1.417 -4.953 -1.968
-2.862 -11.326 -6.386
-2.389 -2.369 -0.711
-0.087 -2.293 -2.561
-1.510 -6.810 -4.445
-3.740 -6.884 -2.652
-5.163 -11.402 -4.536
```

No. 2
Material: La3SnPt
Method: DFT, PBE
State: relaxed

Total magnetization (μB/atom): 0.00
Calculated volume (Å³ per atom): 31.6
Energy (eV/atom): -5.741
Symmetry: P-1
Energy of formation (meV per atom): -776

```
La3SnPt
1.0
5.550 0.015 0.005
-2.789 6.316 -0.661
-0.001 -3.478 9.353
La Sn Pt
6 2 2
Cartesian
-0.001 -0.578 6.000
2.772 -1.662 8.534
-0.002 0.704 2.471
2.761 3.430 2.698
2.761 2.149 6.227
-0.012 4.515 0.164
-0.016 3.220 4.761
2.776 -0.367 3.937
-0.003 -1.929 8.882
2.762 4.782 -0.184
```

No. 3
Material: CsKRh2W
Method: DFT, PBE
State: relaxed

Total magnetization (μB/atom): 0.88
Calculated volume (Å³ per atom): 29.6
Energy (eV/atom): -3.415
Symmetry: P4/mmm
Energy of formation (meV per atom): 2506

```
CsKRh2W
1.0
5.112 0.000 0.000
0.000 5.666 0.000
0.000 0.000 5.112
Cs K Rh W
1 1 2 1
Cartesian
0.000 0.000 0.000
0.000 2.833 0.000
0.000 0.000 2.556
2.556 0.000 0.000
2.556 2.833 2.556
```

No. 4
Material: La8Pr2Cd
Method: DFT, PBE
State: relaxed

Total magnetization (μB/atom): 0.00
Calculated volume (Å³ per atom): 35.1
Energy (eV/atom): -4.498
Symmetry: C2/m
Energy of formation (meV per atom): 38

```
La8Pr2Cd
1.0
6.117 0.876 0.612
2.433 9.827 2.650
2.433 5.870 8.315
La Pr Cd
8 2 1
Cartesian
3.701 4.800 5.372
3.701 6.695 2.658
7.281 11.773 6.205
3.899 8.603 6.010
7.281 9.878 8.918
2.447 1.750 1.223
8.535 14.823 10.354
7.083 7.970 5.567
6.944 5.140 3.590
4.039 11.433 7.987
0.000 0.000 0.000
```

No. 5
Material: MgSnRu
Method: DFT, PBE
State: relaxed

Total magnetization (μB/atom): 0.00
Calculated volume (Å³ per atom): 17.4
Energy (eV/atom): -5.142
Symmetry: Fdd2
Energy of formation (meV per atom): -184

```
MgSnRu
1.0
9.530 0.000 0.000
0.000 5.065 0.000
0.000 0.000 8.647
Mg Sn Ru
8 8 8
Cartesian
0.000 0.000 7.173
2.383 1.266 0.688
0.000 2.533 2.850
2.383 3.799 5.011
4.765 0.000 2.850
7.148 1.266 5.011
4.765 2.533 7.173
7.148 3.799 0.688
0.000 0.000 1.508
2.383 1.266 3.670
0.000 2.533 5.832
2.383 3.799 7.993
4.765 0.000 5.832
7.148 1.266 7.993
4.765 2.533 1.508
7.148 3.799 3.670
0.000 0.000 4.377
2.383 1.266 6.539
0.000 2.533 0.054
2.383 3.799 2.215
4.765 0.000 0.054
7.148 1.266 2.215
4.765 2.533 4.377
7.148 3.799 6.539
```

No. 6
Material: LaTa
Method: DFT, PBE
State: relaxed

Total magnetization (μB/atom): 0.00
Calculated volume (Å³ per atom): 26.2
Energy (eV/atom): -7.927
Symmetry: C2/m
Energy of formation (meV per atom): 463

```
LaTa
1.0
-3.223 0.879 -1.565
-2.354 -0.168 4.752
3.861 4.835 -0.886
La Ta
2 2
Cartesian
0.428 5.623 -2.071
-1.258 3.097 -0.019
-2.908 0.708 2.037
-0.914 2.130 3.077
```